Computed, not measured: crystalline InReAg at its relaxed geometry at the PBE level of DFT.

abc: 5.1071 5.1071 5.1071
angles: 148.35 129.65 60.70
Last column: nearest neighbours and their distance in Å.
Atoms (fractional coordinates):
Re (0.6647, 0.6647, 0.0000)  2 Re 2.79, 5 In 2.94-2.97, 5 Ag 2.94-2.99
Ag (0.0040, 0.0040, 0.0000)  2 Ag 2.79, 5 In 2.88-3.00, 5 Re 2.94-2.99
In (0.3313, 0.3313, 0.0000)  2 In 2.79, 5 Ag 2.88-3.00, 5 Re 2.94-2.97

Summary:
DFT total energy, eV/atom: -5.29
Magnetization, μB/f.u.: 0.0
Energy of formation from the pure elements, eV/f.u.: 2.15